Entry 1:
# ZnNiSn (PBE, relaxed)
data_ZnNiSn
_chemical_formula_sum 'Zn2 Ni2 Sn2'
_space_group_name_H-M_alt 'I 4 m m'
_space_group_IT_number 107
_space_group_name_Hall 'I 4 -2'
_cell_length_a 3.030
_cell_length_b 3.030
_cell_length_c 11.297
_cell_angle_alpha 90.00
_cell_angle_beta 90.00
_cell_angle_gamma 90.00
loop_
_atom_site_label
_atom_site_fract_x
_atom_site_fract_y
_atom_site_fract_z
_atom_site_occupancy
Zn1 0.000 0.000 0.000 1
Ni1 0.000 0.000 0.381 1
Sn1 0.000 0.000 0.726 1
# - energy (eV per atom) = -3.677
# - DFT formation energy (eV per atom) = 0.0092

Entry 2:
# Zn2Ni8Sn (PBE, relaxed)
data_Zn2Ni8Sn
_chemical_formula_sum 'Zn4 Ni16 Sn2'
_space_group_name_H-M_alt 'C 1 2/m 1'
_space_group_IT_number 12
_space_group_name_Hall '-C 2y'
_cell_length_a 13.023
_cell_length_b 3.693
_cell_length_c 5.735
_cell_angle_alpha 90.00
_cell_angle_beta 105.59
_cell_angle_gamma 90.00
loop_
_atom_site_label
_atom_site_fract_x
_atom_site_fract_y
_atom_site_fract_z
_atom_site_occupancy
Zn1 0.225 0.000 0.144 1
Ni1 0.045 0.000 0.216 1
Ni2 0.092 0.500 0.967 1
Ni3 0.141 0.000 0.690 1
Ni4 0.185 0.500 0.411 1
Sn1 0.000 0.500 0.500 1
# - energy (eV per atom) = -4.932
# - DFT formation energy (eV per atom) = -0.1316

Entry 3:
# Zn5Ni6Sn (PBE, relaxed)
data_Zn5Ni6Sn
_chemical_formula_sum 'Zn5 Ni6 Sn1'
_space_group_name_H-M_alt 'P 1 2/m 1'
_space_group_IT_number 10
_space_group_name_Hall '-P 2y'
_cell_length_a 3.876
_cell_length_b 6.763
_cell_length_c 6.142
_cell_angle_alpha 90.00
_cell_angle_beta 108.31
_cell_angle_gamma 90.00
loop_
_atom_site_label
_atom_site_fract_x
_atom_site_fract_y
_atom_site_fract_z
_atom_site_occupancy
Zn1 0.000 0.000 0.000 1
Zn2 0.326 0.500 0.651 1
Zn3 0.334 0.000 0.667 1
Ni1 0.169 0.242 0.337 1
Ni2 0.500 0.240 0.000 1
Sn1 0.000 0.500 0.000 1
# - energy (eV per atom) = -3.971
# - DFT formation energy (eV per atom) = -0.2162

Entry 4:
# ZnNi15Sn4 (PBE, relaxed)
data_ZnNi15Sn4
_chemical_formula_sum 'Zn1 Ni15 Sn4'
_space_group_name_H-M_alt 'P 4/m m m'
_space_group_IT_number 123
_space_group_name_Hall '-P 4 2'
_cell_length_a 3.722
_cell_length_b 3.722
_cell_length_c 18.330
_cell_angle_alpha 90.00
_cell_angle_beta 90.00
_cell_angle_gamma 90.00
loop_
_atom_site_label
_atom_site_fract_x
_atom_site_fract_y
_atom_site_fract_z
_atom_site_occupancy
Zn1 0.000 0.000 0.000 1
Ni1 0.000 0.500 0.092 1
Ni2 0.000 0.500 0.296 1
Ni3 0.000 0.500 0.500 1
Ni4 0.500 0.500 0.000 1
Ni5 0.500 0.500 0.195 1
Ni6 0.500 0.500 0.398 1
Sn1 0.000 0.000 0.193 1
Sn2 0.000 0.000 0.398 1
# - energy (eV per atom) = -5.363
# - DFT formation energy (eV per atom) = -0.1625

Entry 5:
# ZnNi2Sn (PBE, relaxed)
data_ZnNi2Sn
_chemical_formula_sum 'Zn4 Ni8 Sn4'
_space_group_name_H-M_alt 'I -4 2 d'
_space_group_IT_number 122
_space_group_name_Hall 'I -4 2bw'
_cell_length_a 6.781
_cell_length_b 6.781
_cell_length_c 5.385
_cell_angle_alpha 90.00
_cell_angle_beta 90.00
_cell_angle_gamma 90.00
loop_
_atom_site_label
_atom_site_fract_x
_atom_site_fract_y
_atom_site_fract_z
_atom_site_occupancy
Zn1 0.000 0.000 0.000 1
Ni1 0.232 0.250 0.125 1
Sn1 0.000 0.000 0.500 1
# - energy (eV per atom) = -4.056
# - DFT formation energy (eV per atom) = 0.1534

Entry 6:
# ZnNi12Sn3 (PBE, relaxed)
data_ZnNi12Sn3
_chemical_formula_sum 'Zn1 Ni12 Sn3'
_space_group_name_H-M_alt 'P 4/m m m'
_space_group_IT_number 123
_space_group_name_Hall '-P 4 2'
_cell_length_a 3.716
_cell_length_b 3.716
_cell_length_c 14.637
_cell_angle_alpha 90.00
_cell_angle_beta 90.00
_cell_angle_gamma 90.00
loop_
_atom_site_label
_atom_site_fract_x
_atom_site_fract_y
_atom_site_fract_z
_atom_site_occupancy
Zn1 0.000 0.000 0.000 1
Ni1 0.000 0.500 0.116 1
Ni2 0.000 0.500 0.372 1
Ni3 0.500 0.500 0.000 1
Ni4 0.500 0.500 0.246 1
Ni5 0.500 0.500 0.500 1
Sn1 0.000 0.000 0.243 1
Sn2 0.000 0.000 0.500 1
# - energy (eV per atom) = -5.323
# - DFT formation energy (eV per atom) = -0.1567

Entry 7:
# ZnNiSn (PBE, relaxed)
data_ZnNiSn
_chemical_formula_sum 'Zn1 Ni1 Sn1'
_space_group_name_H-M_alt 'P 3 m 1'
_space_group_IT_number 156
_space_group_name_Hall 'P 3 -2"'
_cell_length_a 4.2185
_cell_length_b 4.2185
_cell_length_c 3.3139
_cell_angle_alpha 90.00
_cell_angle_beta 90.00
_cell_angle_gamma 120.00
loop_
_atom_site_label
_atom_site_fract_x
_atom_site_fract_y
_atom_site_fract_z
_atom_site_occupancy
Zn1 0.0000 0.0000 0.0000 1
Ni1 0.3333 0.6667 0.9976 1
Sn1 0.6667 0.3333 0.4996 1
# - energy (eV per atom) = -3.620
# - DFT formation energy (eV per atom) = 0.0660

Entry 8:
# ZrNiSn2 (PBE, relaxed)
data_ZrNiSn2
_chemical_formula_sum 'Zr3 Ni3 Sn6'
_space_group_name_H-M_alt 'R -3 m'
_space_group_IT_number 166
_space_group_name_Hall '-R 3 2"'
_cell_length_a 3.2108
_cell_length_b 3.2108
_cell_length_c 29.4228
_cell_angle_alpha 90.00
_cell_angle_beta 90.00
_cell_angle_gamma 120.00
loop_
_atom_site_label
_atom_site_fract_x
_atom_site_fract_y
_atom_site_fract_z
_atom_site_occupancy
Zr1 0.0000 0.0000 0.0000 1
Ni1 0.0000 0.0000 0.5000 1
Sn1 0.0000 0.0000 0.1017 1
# - energy (eV per atom) = -5.469
# - DFT formation energy (eV per atom) = 0.1143